Here is a geometry-optimized Mn2Zn6Cu structure from the Alexandria database. Energies are from PBE.

Output
VASP energy   -29.47 eV/cell
ΔE_f   0.07 eV per atom
Energy above the most stable polymorph in this dataset   46.1 meV/atom

Cell lengths 2.6969, 7.2772, 7.5933 Å; angles 118.63, 100.23, 90.00 degrees
Closest atoms and distances in Å follow each position.
Positions (direct):
1 Mn 0.8493 0.8493 0.6986  10 Zn 2.65-2.75, 2 Mn 2.70
2 Mn 0.1507 0.1507 0.3014  10 Zn 2.65-2.75, 2 Mn 2.70
3 Zn 0.6710 0.8443 0.3421  6 Zn 2.49-2.70, 3 Mn 2.65-2.75
4 Zn 0.3290 0.1557 0.6579  6 Zn 2.49-2.70, 3 Mn 2.65-2.75
5 Zn 0.3290 0.5022 0.6579  6 Zn 2.49-2.70, 3 Mn 2.65-2.75
6 Zn 0.5000 0.1760 0.0000  5 Zn 2.49-2.70, 4 Mn 2.71, 2 Cu 2.72
7 Zn 0.5000 0.8240 0.0000  5 Zn 2.49-2.70, 4 Mn 2.71, 2 Cu 2.72
8 Zn 0.6710 0.4978 0.3421  6 Zn 2.49-2.70, 3 Mn 2.65-2.75
9 Cu 0.0000 0.5000 0.0000  2 Cu 2.70, 12 Zn 2.72-2.90


Here is a geometry-optimized PmGe5 structure from the Alexandria database. Energies are from PBE.

Output
VASP energy   -29.38 eV/cell
ΔE_f   -0.26 eV per atom
Energy above the most stable polymorph in this dataset   0.0 meV/atom

Cell lengths 4.0550, 6.1761, 6.1761 Å; angles 60.76, 70.84, 70.84 degrees
Closest atoms and distances in Å follow each position.
Positions (direct):
1 Pm 0.5000 0.0000 0.0000  10 Ge 3.12-3.21
2 Ge 0.8311 0.8740 0.4638  3 Ge 2.56-2.64
3 Ge 0.5000 0.5000 0.5000  8 Ge 2.92, 2 Pm 3.12
4 Ge 0.1689 0.1260 0.5362  3 Ge 2.56-2.64
5 Ge 0.1689 0.5362 0.1260  3 Ge 2.56-2.64
6 Ge 0.8311 0.4638 0.8740  3 Ge 2.56-2.64


Here is a geometry-optimized ThSiS structure from the Alexandria database. Energies are from PBE.

Output
VASP energy   -41.97 eV/cell
Uncorrected formation energy   -1.338 eV/atom

Cell lengths 9.0247, 9.0247, 9.0247 Å; angles 154.99, 154.99, 35.66 degrees
Closest atoms and distances in Å follow each position.
Positions (direct):
1 Th 0.8623 0.8623 0.0000  5 S 2.89-3.00, 4 Si 3.07
2 Th 0.1377 0.1377 0.0000  5 S 2.89-3.00, 4 Si 3.07
3 Si 0.0000 0.5000 0.5000  4 Si 2.76, 4 Th 3.07
4 Si 0.5000 0.0000 0.5000  4 Si 2.76, 4 Th 3.07
5 S 0.6876 0.6876 0.0000  5 Th 2.89-3.00
6 S 0.3124 0.3124 0.0000  5 Th 2.89-3.00


Here is a geometry-optimized CsNd2PaSe5 structure from the Alexandria database. Energies are from PBE.

Output
VASP energy   -51.29 eV/cell
Uncorrected formation energy   -1.553 eV/atom

Cell lengths 5.3418, 7.6895, 8.5814 Å; angles 116.62, 108.13, 90.00 degrees
Closest atoms and distances in Å follow each position.
Positions (direct):
1 Cs 0.0000 0.5000 0.0000  10 Se 3.84-4.00
2 Nd 0.2033 0.2033 0.4067  3 Se 2.92
3 Nd 0.7967 0.7967 0.5933  3 Se 2.92
4 Pa 0.5000 0.0000 0.0000  6 Se 2.67-2.83
5 Se 0.6512 0.9159 0.3024  1 Pa 2.83, 1 Nd 2.92
6 Se 0.3488 0.0841 0.6976  1 Pa 2.83, 1 Nd 2.92
7 Se 0.3488 0.6135 0.6976  1 Pa 2.83, 1 Nd 2.92
8 Se 0.6512 0.3865 0.3024  1 Pa 2.83, 1 Nd 2.92
9 Se 0.0000 0.0000 0.0000  2 Pa 2.67, 2 Nd 2.92